## Sr2HfPdO6 (GGA-PBE)

Data for Sr2HfPdO6 after structural relaxation.

a b c (Å): 5.7263 5.7263 5.7263
angles (deg): 60.00 60.00 60.00
Fractional positions:
1 Sr 0.7500 0.7500 0.7500
2 Sr 0.2500 0.2500 0.2500
3 Hf 0.5000 0.5000 0.5000
4 Pd 0.0000 0.0000 0.0000
5 O 0.2473 0.7527 0.7527
6 O 0.2473 0.7527 0.2473
7 O 0.2473 0.2473 0.7527
8 O 0.7527 0.7527 0.2473
9 O 0.7527 0.2473 0.2473
10 O 0.7527 0.2473 0.7527

Output
* total energy: -7.205 eV/atom
* raw formation energy: -2.379 eV/atom



## Sr2HfPd2O6 (GGA-PBE)

Data for Sr2HfPd2O6 after structural relaxation.

a b c (Å): 6.1575 6.1575 6.4723
angles (deg): 61.60 61.60 60.00
Fractional positions:
1 Sr 0.7889 0.7889 0.6332
2 Sr 0.2111 0.2111 0.3668
3 Hf 0.0000 0.0000 0.0000
4 Pd 0.4100 0.4100 0.7699
5 Pd 0.5900 0.5900 0.2301
6 O 0.7688 0.7688 0.2562
7 O 0.2061 0.7688 0.2562
8 O 0.7688 0.2061 0.2562
9 O 0.2312 0.7939 0.7438
10 O 0.7939 0.2312 0.7438
11 O 0.2312 0.2312 0.7438

Output
* DOS(E_F): 8.758 states/eV per cell
* total energy: -6.664 eV/atom
* raw formation energy: -1.804 eV/atom



## HfTePdO6 (GGA-PBE)

Data for HfTePdO6 after structural relaxation.

a b c (Å): 5.3849 5.3849 9.2485
angles (deg): 90.00 90.00 120.00
Fractional positions:
1 Hf 0.3333 0.6667 0.2500
2 Hf 0.6667 0.3333 0.7500
3 Te 0.6667 0.3333 0.2500
4 Te 0.3333 0.6667 0.7500
5 Pd 0.0000 0.0000 0.0000
6 Pd 0.0000 0.0000 0.5000
7 O 0.6480 0.6295 0.1346
8 O 0.9814 0.3520 0.1346
9 O 0.3520 0.9814 0.6346
10 O 0.0186 0.6480 0.8654
11 O 0.3705 0.3520 0.3654
12 O 0.9814 0.6295 0.3654
13 O 0.6295 0.9814 0.8654
14 O 0.6480 0.0186 0.3654
15 O 0.0186 0.3705 0.6346
16 O 0.3705 0.0186 0.1346
17 O 0.6295 0.6480 0.6346
18 O 0.3520 0.3705 0.8654

Output
* total energy: -6.839 eV/atom
* raw formation energy: -1.502 eV/atom



## Hf2TiPdO (GGA-PBE)

Data for Hf2TiPdO after structural relaxation.

a b c (Å): 4.4171 4.4171 4.0501
angles (deg): 90.00 90.00 90.00
Fractional positions:
1 Hf 0.0000 0.5000 0.0000
2 Hf 0.5000 0.0000 0.0000
3 O 0.0000 0.0000 0.0000
4 Pd 0.5000 0.5000 0.5000
5 Ti 0.0000 0.0000 0.5000

Output
* DOS(E_F): 3.846 states/eV per cell
* total energy: -8.832 eV/atom
* raw formation energy: -1.242 eV/atom



## HfTi2PdO (GGA-PBE)

Data for HfTi2PdO after structural relaxation.

a b c (Å): 4.0916 4.0916 4.4345
angles (deg): 90.00 90.00 90.00
Fractional positions:
1 Hf 0.0000 0.0000 0.5000
2 O 0.0000 0.0000 0.0000
3 Pd 0.5000 0.5000 0.5000
4 Ti 0.0000 0.5000 0.0000
5 Ti 0.5000 0.0000 0.0000

Output
* DOS(E_F): 4.503 states/eV per cell
* total energy: -8.459 eV/atom
* raw formation energy: -1.280 eV/atom



## HfZr2PdO (GGA-PBE)

Data for HfZr2PdO after structural relaxation.

a b c (Å): 4.4548 4.4548 4.3523
angles (deg): 90.00 90.00 90.00
Fractional positions:
1 O 0.0000 0.0000 0.0000
2 Hf 0.0000 0.0000 0.5000
3 Zr 0.0000 0.5000 0.0000
4 Zr 0.5000 0.0000 0.0000
5 Pd 0.5000 0.5000 0.5000

Output
* DOS(E_F): 4.971 states/eV per cell
* total energy: -8.634 eV/atom
* raw formation energy: -1.193 eV/atom



## Pm5Hf2O12 (GGA-PBE)

Data for Pm5Hf2O12 after structural relaxation.

a b c (Å): 6.2008 7.1300 7.5409
angles (deg): 105.39 90.00 115.78
Fractional positions:
1 Pm 0.3024 0.6048 0.6412
2 Pm 0.3036 0.6073 0.1614
3 Pm 0.0000 0.0000 0.5000
4 Pm 0.6964 0.3927 0.8386
5 Pm 0.6976 0.3952 0.3588
6 Hf 0.7559 0.0000 0.0000
7 Hf 0.2441 0.0000 0.0000
8 O 0.9983 0.9966 0.1849
9 O 0.1015 0.6646 0.9120
10 O 0.5632 0.6646 0.9120
11 O 0.0948 0.6924 0.4272
12 O 0.5976 0.6924 0.4272
13 O 0.5018 0.0036 0.8145
14 O 0.4982 0.9964 0.1855
15 O 0.9052 0.3076 0.5728
16 O 0.4024 0.3076 0.5728
17 O 0.8985 0.3354 0.0880
18 O 0.4368 0.3354 0.0880
19 O 0.0017 0.0034 0.8151

Output
* DOS(E_F): 15.920 states/eV per cell
* total energy: -8.788 eV/atom
* raw formation energy: -3.359 eV/atom



## Pm2Hf2O7 (GGA-PBE)

Data for Pm2Hf2O7 after structural relaxation.

a b c (Å): 7.5421 7.5421 7.5421
angles (deg): 60.00 60.00 60.00
Fractional positions:
1 Pm 0.6250 0.6250 0.6250
2 Pm 0.6250 0.6250 0.1250
3 Pm 0.6250 0.1250 0.6250
4 Pm 0.1250 0.6250 0.6250
5 Hf 0.6250 0.1250 0.1250
6 Hf 0.1250 0.6250 0.1250
7 Hf 0.1250 0.1250 0.6250
8 Hf 0.1250 0.1250 0.1250
9 O 0.2087 0.2087 0.7913
10 O 0.2087 0.7913 0.2087
11 O 0.4587 0.0413 0.4587
12 O 0.4587 0.4587 0.0413
13 O 0.7500 0.7500 0.7500
14 O 0.7913 0.2087 0.2087
15 O 0.4587 0.0413 0.0413
16 O 0.0413 0.4587 0.4587
17 O 0.0413 0.0413 0.4587
18 O 0.0413 0.4587 0.0413
19 O 0.2087 0.7913 0.7913
20 O 0.5000 0.5000 0.5000
21 O 0.7913 0.2087 0.7913
22 O 0.7913 0.7913 0.2087

Output
* DOS(E_F): 0.000 states/eV per cell
* total energy: -9.380 eV/atom
* raw formation energy: -3.551 eV/atom



## PmHf2O (GGA-PBE)

Data for PmHf2O after structural relaxation.

a b c (Å): 3.3190 3.3190 8.8816
angles (deg): 79.23 79.23 60.00
Fractional positions:
1 Hf 0.1213 0.1213 0.6360
2 Hf 0.8787 0.8787 0.3640
3 O 0.5000 0.5000 0.5000
4 Pm 0.0000 0.0000 0.0000

Output
* DOS(E_F): 3.196 states/eV per cell
* total energy: -8.250 eV/atom
* raw formation energy: -0.846 eV/atom



## Pm3HfO7 (GGA-PBE)

Data for Pm3HfO7 after structural relaxation.

a b c (Å): 6.6819 6.6819 7.7380
angles (deg): 90.00 90.00 110.21
Fractional positions:
1 Pm 0.4870 0.4870 0.5000
2 Pm 0.5130 0.5130 0.0000
3 Pm 0.5372 0.9951 0.2533
4 Pm 0.4628 0.0049 0.7533
5 Pm 0.9951 0.5372 0.7467
6 Pm 0.0049 0.4628 0.2467
7 Hf 0.0004 0.0004 0.5000
8 Hf 0.9996 0.9996 0.0000
9 O 0.6720 0.9200 0.5355
10 O 0.3280 0.0800 0.0355
11 O 0.9200 0.6720 0.4645
12 O 0.0800 0.3280 0.9645
13 O 0.0857 0.3315 0.5294
14 O 0.9143 0.6685 0.0294
15 O 0.3315 0.0857 0.4706
16 O 0.6685 0.9143 0.9706
17 O 0.3708 0.6292 0.2500
18 O 0.6292 0.3708 0.7500
19 O 0.6331 0.3669 0.2500
20 O 0.3669 0.6331 0.7500
21 O 0.9261 0.0739 0.2500
22 O 0.0739 0.9261 0.7500

Output
* DOS(E_F): 11.286 states/eV per cell
* total energy: -8.627 eV/atom
* raw formation energy: -3.271 eV/atom



## PmHfPtO6 (GGA-PBE)

Data for PmHfPtO6 after structural relaxation.

a b c (Å): 4.9566 4.9566 9.9147
angles (deg): 90.00 90.00 90.00
Fractional positions:
1 Pm 0.5000 0.5000 0.5054
2 Pm 0.0000 0.0000 0.0054
3 Hf 0.5000 0.5000 0.1679
4 Hf 0.0000 0.0000 0.6679
5 Pt 0.5000 0.5000 0.8318
6 Pt 0.0000 0.0000 0.3318
7 O 0.1745 0.8255 0.4929
8 O 0.8255 0.1745 0.4929
9 O 0.3255 0.3255 0.9929
10 O 0.6745 0.6745 0.9929
11 O 0.2058 0.7942 0.1878
12 O 0.7942 0.2058 0.1878
13 O 0.2942 0.2942 0.6878
14 O 0.7058 0.7058 0.6878
15 O 0.7862 0.2138 0.8168
16 O 0.2138 0.7862 0.8168
17 O 0.7138 0.7138 0.3168
18 O 0.2862 0.2862 0.3168

Output
* DOS(E_F): 11.360 states/eV per cell
* total energy: -7.789 eV/atom
* raw formation energy: -2.179 eV/atom



## PmPuHfO6 (GGA-PBE)

Data for PmPuHfO6 after structural relaxation.

a b c (Å): 5.6146 5.6146 9.8426
angles (deg): 90.00 90.00 120.00
Fractional positions:
1 Pm 0.0000 0.0000 0.0000
2 Pm 0.0000 0.0000 0.5000
3 Pu 0.6667 0.3333 0.2500
4 Pu 0.3333 0.6667 0.7500
5 Hf 0.3333 0.6667 0.2500
6 Hf 0.6667 0.3333 0.7500
7 O 0.6419 0.6482 0.1383
8 O 0.0063 0.3581 0.1383
9 O 0.3581 0.0063 0.6383
10 O 0.9937 0.6419 0.8617
11 O 0.3518 0.3581 0.3617
12 O 0.0063 0.6482 0.3617
13 O 0.6482 0.0063 0.8617
14 O 0.6419 0.9937 0.3617
15 O 0.9937 0.3518 0.6383
16 O 0.3518 0.9937 0.1383
17 O 0.6482 0.6419 0.6383
18 O 0.3581 0.3518 0.8617

Output
* DOS(E_F): 19.553 states/eV per cell
* total energy: -9.703 eV/atom
* raw formation energy: -3.171 eV/atom



## PmHfS2O (GGA-PBE)

Data for PmHfS2O after structural relaxation.

a b c (Å): 3.7795 3.7795 13.2768
angles (deg): 90.00 90.00 90.00
Fractional positions:
1 Pm 0.5000 0.0000 0.5958
2 Pm 0.0000 0.5000 0.4042
3 Hf 0.5000 0.0000 0.1016
4 Hf 0.0000 0.5000 0.8984
5 S 0.0000 0.5000 0.7166
6 S 0.0000 0.5000 0.0997
7 S 0.5000 0.0000 0.9003
8 S 0.5000 0.0000 0.2834
9 O 0.0000 0.0000 0.5000
10 O 0.5000 0.5000 0.5000

Output
* DOS(E_F): 2.701 states/eV per cell
* total energy: -7.765 eV/atom
* raw formation energy: -2.181 eV/atom



## PmHfSi2O8 (GGA-PBE)

Data for PmHfSi2O8 after structural relaxation.

a b c (Å): 5.7672 5.7672 5.7672
angles (deg): 106.44 106.44 115.71
Fractional positions:
1 Pm 0.2500 0.7500 0.5000
2 Hf 0.0000 0.0000 0.0000
3 Si 0.7500 0.2500 0.5000
4 Si 0.5000 0.5000 0.0000
5 O 0.3962 0.0872 0.3089
6 O 0.3165 0.4881 0.1716
7 O 0.3165 0.1450 0.8284
8 O 0.7783 0.0872 0.6911
9 O 0.8550 0.6835 0.1716
10 O 0.9128 0.2217 0.3089
11 O 0.9128 0.6038 0.6911
12 O 0.5119 0.6835 0.8284

Output
* DOS(E_F): 8.611 states/eV per cell
* total energy: -8.358 eV/atom
* raw formation energy: -2.923 eV/atom



## PmHf2SnO8 (GGA-PBE)

Data for PmHf2SnO8 after structural relaxation.

a b c (Å): 4.9857 4.9854 6.6821
angles (deg): 90.00 90.00 88.49
Fractional positions:
1 Pm 0.0000 0.0000 0.5000
2 Hf 0.5000 0.5000 0.7485
3 Hf 0.5000 0.5000 0.2515
4 Sn 0.0000 0.0000 0.0000
5 O 0.2048 0.7939 0.2229
6 O 0.6946 0.6957 0.0000
7 O 0.7952 0.2061 0.2229
8 O 0.7952 0.2061 0.7771
9 O 0.3054 0.3043 0.0000
10 O 0.2048 0.7939 0.7771
11 O 0.6758 0.6773 0.5000
12 O 0.3242 0.3227 0.5000

Output
* DOS(E_F): 6.449 states/eV per cell
* total energy: -8.462 eV/atom
* raw formation energy: -2.768 eV/atom



## SrPm2HfO6 (GGA-PBE)

Data for SrPm2HfO6 after structural relaxation.

a b c (Å): 5.9318 5.9319 6.1810
angles (deg): 61.32 61.32 60.00
Fractional positions:
1 Sr 0.8006 0.8006 0.5982
2 Pm 0.5291 0.5291 0.4128
3 Pm 0.0237 0.0237 0.9289
4 Hf 0.3163 0.3163 0.0511
5 O 0.5822 0.2209 0.2384
6 O 0.2209 0.9585 0.2384
7 O 0.9585 0.5822 0.2384
8 O 0.3936 0.6863 0.7697
9 O 0.6863 0.1504 0.7697
10 O 0.1504 0.3936 0.7697

Output
* DOS(E_F): 0.000 states/eV per cell
* total energy: -8.413 eV/atom
* raw formation energy: -3.325 eV/atom



## PmHf2TeO8 (GGA-PBE)

Data for PmHf2TeO8 after structural relaxation.

a b c (Å): 4.9704 4.9702 6.6964
angles (deg): 90.00 90.00 89.03
Fractional positions:
1 Pm 0.0000 0.0000 0.5000
2 Hf 0.5000 0.5000 0.7495
3 Hf 0.5000 0.5000 0.2505
4 Te 0.0000 0.0000 0.0000
5 O 0.2025 0.7973 0.2232
6 O 0.6970 0.6971 0.0000
7 O 0.7976 0.2028 0.2232
8 O 0.7975 0.2027 0.7768
9 O 0.3030 0.3029 0.0000
10 O 0.2024 0.7972 0.7768
11 O 0.6756 0.6763 0.5000
12 O 0.3244 0.3237 0.5000

Output
* DOS(E_F): 3.633 states/eV per cell
* total energy: -8.309 eV/atom
* raw formation energy: -2.687 eV/atom



## PmHfTiO6 (GGA-PBE)

Data for PmHfTiO6 after structural relaxation.

a b c (Å): 5.3546 5.3546 9.9294
angles (deg): 90.00 90.00 120.00
Fractional positions:
1 Pm 0.0000 0.0000 0.0000
2 Pm 0.0000 0.0000 0.5000
3 Hf 0.6667 0.3333 0.2500
4 Hf 0.3333 0.6667 0.7500
5 Ti 0.3333 0.6667 0.2500
6 Ti 0.6667 0.3333 0.7500
7 O 0.6320 0.6466 0.1407
8 O 0.0146 0.3679 0.1407
9 O 0.3680 0.0146 0.6407
10 O 0.9854 0.6321 0.8593
11 O 0.3534 0.3679 0.3593
12 O 0.0146 0.6466 0.3593
13 O 0.6466 0.0146 0.8593
14 O 0.6320 0.9854 0.3593
15 O 0.9854 0.3534 0.6407
16 O 0.3534 0.9854 0.1407
17 O 0.6466 0.6321 0.6407
18 O 0.3680 0.3534 0.8593

Output
* DOS(E_F): 12.471 states/eV per cell
* total energy: -8.850 eV/atom
* raw formation energy: -3.033 eV/atom